Entry 1:
Below is an optimized crystal structure of PuO4, with properties calculated at the PBE level.

Output
The energy relative to the elements, uncorrected is -1.87 eV/atom. As for the relative energy among the computed polymorphs: 0.000 eV per atom.

POSCAR file:
```
PuO4
1.0
-0.052 -1.067 -5.865
4.898 -3.439 0.582
-0.488 -5.609 1.024
Pu O
2 8
Direct
0.000 0.500 0.000 Pu
0.500 0.000 0.000 Pu
0.716 0.798 0.951 O
0.947 0.322 0.358 O
0.284 0.202 0.049 O
0.216 0.702 0.048 O
0.053 0.678 0.642 O
0.448 0.178 0.642 O
0.784 0.298 0.952 O
0.552 0.822 0.358 O
```


Entry 2:
Below is an optimized crystal structure of PuO5, with properties calculated at the PBE level.

Output
The energy relative to the elements, uncorrected is -1.48 eV/atom.

POSCAR file:
```
PuO5
1.0
6.218 -0.801 -2.070
-3.288 5.698 -0.561
-0.397 -0.175 6.737
Pu O
2 10
Direct
0.000 0.000 0.000 Pu
0.500 0.000 0.500 Pu
0.164 0.331 0.839 O
0.010 0.809 0.809 O
0.500 0.201 0.691 O
0.610 0.860 0.750 O
0.008 0.675 0.339 O
0.992 0.325 0.661 O
0.390 0.140 0.250 O
0.500 0.799 0.309 O
0.990 0.191 0.191 O
0.836 0.669 0.161 O
```


Entry 3:
Below is an optimized crystal structure of Pu2O3, with properties calculated at the PBE level.

Output
The energy relative to the elements, uncorrected is -2.93 eV/atom.

POSCAR file:
```
Pu2O3
1.0
3.611 0.000 0.000
-1.806 7.034 -1.286
0.000 0.035 8.910
Pu O
6 9
Direct
0.638 0.277 0.490 Pu
0.362 0.723 0.510 Pu
0.684 0.369 0.130 Pu
0.316 0.631 0.870 Pu
0.969 0.939 0.186 Pu
0.031 0.061 0.814 Pu
0.825 0.650 0.038 O
0.175 0.350 0.962 O
0.789 0.578 0.383 O
0.211 0.422 0.617 O
0.127 0.254 0.274 O
0.873 0.746 0.726 O
0.468 0.935 0.341 O
0.532 0.065 0.659 O
0.500 0.000 0.000 O
```


Entry 4:
Below is an optimized crystal structure of Pu4O, with properties calculated at the PBE level.

Output
The energy relative to the elements, uncorrected is -0.72 eV/atom.

POSCAR file:
```
Pu4O
1.0
-4.162 2.295 0.543
-1.492 -3.416 2.998
1.826 2.439 3.688
O Pu
1 4
Direct
0.500 0.500 0.500 O
0.000 0.000 0.000 Pu
0.500 0.000 0.500 Pu
0.000 0.500 0.500 Pu
0.500 0.500 0.000 Pu
```